Record 1
Ac2ZnCu3Sn4: optimized geometry, PBE-GGA.

Computed properties:
**Total magnetization**: 0.000 μB per atom
**Energy of formation from the pure elements**: -0.45 eV/atom
**Symmetry**: P-4m2

Lattice parameters (Å, degrees): 4.6159 4.6159 10.9401 90.00 90.00 90.00
Last column: nearest neighbours and their distance in Å.
Atoms (fractional coordinates):
1 Ac 0.5000 0.0000 0.2579  8 Sn 3.48-3.65, 2 Zn 3.51, 6 Cu 3.51-3.55
2 Ac 0.0000 0.5000 0.7421  8 Sn 3.48-3.65, 2 Zn 3.51, 6 Cu 3.51-3.55
3 Sn 0.0000 0.0000 0.0000  4 Cu 2.72
4 Sn 0.5000 0.0000 0.6312  3 Cu 2.60-2.72, 2 Zn 2.72
5 Sn 0.5000 0.5000 0.0000  4 Cu 2.72
6 Sn 0.0000 0.5000 0.3688  3 Cu 2.60-2.72, 2 Zn 2.72
7 Zn 0.5000 0.5000 0.5000  4 Sn 2.72
8 Cu 0.0000 0.0000 0.5000  4 Sn 2.72
9 Cu 0.0000 0.5000 0.1313  5 Sn 2.60-2.72
10 Cu 0.5000 0.0000 0.8687  5 Sn 2.60-2.72

---

Record 2
InAg12Au3: optimized geometry, PBE-GGA.

Computed properties:
**Total magnetization**: 0.000 μB per atom
**Energy of formation from the pure elements**: -0.03 eV/atom
**Symmetry**: P4/mmm

Lattice parameters (Å, degrees): 4.2172 4.2172 16.3689 90.00 90.00 90.00
Last column: nearest neighbours and their distance in Å.
Atoms (fractional coordinates):
1 Ag 0.5000 0.5000 0.7473  8 Ag 2.92-2.93, 4 Au 2.98
2 Ag 0.5000 0.5000 0.0000  8 Ag 2.98, 4 In 2.98
3 Ag 0.0000 0.5000 0.1286  8 Ag 2.93-2.98, 2 Au 2.93, 2 In 2.98
4 Ag 0.5000 0.0000 0.1286  8 Ag 2.93-2.98, 2 Au 2.93, 2 In 2.98
5 Ag 0.0000 0.5000 0.3764  4 Au 2.92, 8 Ag 2.92-2.98
6 Ag 0.0000 0.5000 0.6236  4 Au 2.92, 8 Ag 2.92-2.98
7 Ag 0.5000 0.0000 0.3764  4 Au 2.92, 8 Ag 2.92-2.98
8 Ag 0.5000 0.0000 0.8714  8 Ag 2.93-2.98, 2 Au 2.93, 2 In 2.98
9 Ag 0.0000 0.5000 0.8714  8 Ag 2.93-2.98, 2 Au 2.93, 2 In 2.98
10 Ag 0.5000 0.5000 0.5000  8 Ag 2.92, 4 Au 2.98
11 Ag 0.5000 0.5000 0.2527  8 Ag 2.92-2.93, 4 Au 2.98
12 Ag 0.5000 0.0000 0.6236  4 Au 2.92, 8 Ag 2.92-2.98
13 Au 0.0000 0.0000 0.2531  12 Ag 2.92-2.98
14 Au 0.0000 0.0000 0.5000  12 Ag 2.92-2.98
15 Au 0.0000 0.0000 0.7469  12 Ag 2.92-2.98
16 In 0.0000 0.0000 0.0000  12 Ag 2.98

---

Record 3
Co2CuOs: optimized geometry, PBE-GGA.

Computed properties:
**Total magnetization**: 0.928 μB per atom
**Energy of formation from the pure elements**: 0.35 eV/atom
**Symmetry**: Immm
**Energy relative to the lowest polymorph listed for this composition**: 0.78 eV per formula unit

Lattice parameters (Å, degrees): 4.9701 4.9701 4.9701 148.78 128.72 61.27
Last column: nearest neighbours and their distance in Å.
Atoms (fractional coordinates):
1 Co 0.9976 0.9976 0.0000  2 Cu 2.50, 6 Co 2.53-2.67, 2 Os 2.54
2 Co 0.5024 0.5024 0.0000  2 Cu 2.50, 6 Co 2.53-2.67, 2 Os 2.54
3 Os 0.2500 0.7500 0.5000  4 Cu 2.53, 4 Co 2.54, 2 Os 2.67
4 Cu 0.7500 0.2500 0.5000  4 Co 2.50, 4 Os 2.53, 2 Cu 2.67

---

Record 4
Ta2TlPb: optimized geometry, PBE-GGA.

Computed properties:
**Total magnetization**: 0.000 μB per atom
**Energy of formation from the pure elements**: 0.63 eV/atom
**Symmetry**: Immm
**Energy relative to the lowest polymorph listed for this composition**: 1.09 eV per formula unit

Lattice parameters (Å, degrees): 5.7621 5.7621 5.7621 145.66 126.88 64.79
Last column: nearest neighbours and their distance in Å.
Atoms (fractional coordinates):
1 Ta 0.4996 0.4996 0.0000  2 Pb 2.97, 2 Tl 2.97, 4 Ta 3.09
2 Ta 0.0004 0.0004 0.0000  2 Pb 2.97, 2 Tl 2.97, 4 Ta 3.09
3 Pb 0.2500 0.7500 0.5000  4 Ta 2.97, 4 Tl 3.09
4 Tl 0.7500 0.2500 0.5000  4 Ta 2.97, 4 Pb 3.09

---

Q: The highest total magnetization belongs to which entry?
A: Co2CuOs